# 1
# ZrAsP meta-GGA SCAN PBEsol geometry
data_ZrAsP
_cell_length_a 3.7704
_cell_length_b 4.6634
_cell_length_c 13.1251
_cell_angle_alpha 90.00
_cell_angle_beta 90.00
_cell_angle_gamma 90.00
_space_group_name_H-M_alt 'F m m 2'
_space_group_IT_number 42
_space_group_name_Hall 'F 2 -2'
loop_
_atom_site_label
_atom_site_type_symbol
_atom_site_fract_x
_atom_site_fract_y
_atom_site_fract_z
_atom_site_occupancy
Zr1 Zr 0.0000 0.0000 0.0000 1
As1 As 0.0000 0.0000 0.6545 1
P1 P 0.0000 0.0000 0.3649 1
# DFT formation energy (eV per atom): -0.34
# Energy above the most stable polymorph in this dataset (meV per atom): 39

---

# 2
# Mg5Sc meta-GGA SCAN PBEsol geometry
data_Mg5Sc
_cell_length_a 4.4150
_cell_length_b 13.1615
_cell_length_c 4.6439
_cell_angle_alpha 90.00
_cell_angle_beta 90.00
_cell_angle_gamma 90.00
_space_group_name_H-M_alt 'C m m m'
_space_group_IT_number 65
_space_group_name_Hall '-C 2 2'
loop_
_atom_site_label
_atom_site_type_symbol
_atom_site_fract_x
_atom_site_fract_y
_atom_site_fract_z
_atom_site_occupancy
Mg1 Mg 0.0000 0.0000 0.0000 1
Mg2 Mg 0.0000 0.1699 0.5000 1
Mg3 Mg 0.0000 0.3363 0.0000 1
Sc1 Sc 0.0000 0.5000 0.5000 1
# DFT formation energy (eV per atom): -0.01

---

# 3
# CsNa7Ta8O24 meta-GGA SCAN PBEsol geometry
data_CsNa7Ta8O24
_cell_length_a 7.9337
_cell_length_b 7.9337
_cell_length_c 7.9337
_cell_angle_alpha 90.00
_cell_angle_beta 90.00
_cell_angle_gamma 90.00
_space_group_name_H-M_alt 'P m -3 m'
_space_group_IT_number 221
_space_group_name_Hall '-P 4 2 3'
loop_
_atom_site_label
_atom_site_type_symbol
_atom_site_fract_x
_atom_site_fract_y
_atom_site_fract_z
_atom_site_occupancy
Cs1 Cs 0.0000 0.0000 0.0000 1
Na1 Na 0.0000 0.0000 0.5000 1
Na2 Na 0.0000 0.5000 0.5000 1
Na3 Na 0.5000 0.5000 0.5000 1
Ta1 Ta 0.2520 0.2520 0.2520 1
O1 O 0.0000 0.2569 0.2569 1
O2 O 0.2529 0.2529 0.5000 1
# ΔE_f (raw) (kJ/mol of atoms): -271

---

Short version: total magnetization = 0.000; 0.000; 0.000 μB per atom, in the order given.
Short version: energy = -20.77; -6.53; -21.55 eV/atom, in the order given.
Short version: DOS at the Fermi energy = 0.491; 0.605; 0.000 states/eV per atom, in the order given.